1.
Computed, not measured: a relaxed structure of SrHf2TaNb at the GGA-PBEsol level of DFT.

a b c (Å): 4.7115 4.9080 4.9080
angles (deg): 90.00 90.00 90.00
Closest atoms and distances in Å follow each position.
Positions (direct):
Hf  0.0000  0.0000  0.5000  2 Sr 2.45
Hf  0.0000  0.5000  0.0000  2 Sr 2.45
Sr  0.0000  0.0000  0.0000  2 Nb 2.36, 4 Hf 2.45
Ta  0.5000  0.5000  0.5000  8 Hf 3.40, 4 Nb 3.47
Nb  0.5000  0.0000  0.0000  2 Sr 2.36

Summary:
Energy of formation from the pure elements, eV/atom: 2.380
Volume, A^3/atom: 22.70
Crystal system: tetragonal
Density of states at the Fermi level, states/eV per cell: 7.93
Total magnetic moment, μB per formula unit: 0.00
Space group: P4/mmm, No. 123



2.
Computed, not measured: a relaxed structure of Be8Cu at the GGA-PBEsol level of DFT.

a b c (Å): 3.1881 5.0761 5.0761
angles (deg): 84.34 71.70 71.70
Closest atoms and distances in Å follow each position.
Positions (direct):
Be  0.6615  0.3385  0.3385  11 Be 2.20-2.28, 1 Cu 2.31
Be  0.3385  0.6615  0.6615  11 Be 2.20-2.28, 1 Cu 2.31
Be  0.0000  0.6615  0.3385  11 Be 2.20-2.28, 1 Cu 2.31
Be  0.0000  0.3385  0.6615  11 Be 2.20-2.28, 1 Cu 2.31
Be  0.6705  0.6590  0.0000  10 Be 2.21-2.32, 2 Cu 2.29
Be  0.6705  0.0000  0.6590  10 Be 2.21-2.32, 2 Cu 2.29
Be  0.3295  0.0000  0.3410  10 Be 2.21-2.32, 2 Cu 2.29
Be  0.3295  0.3410  0.0000  10 Be 2.21-2.32, 2 Cu 2.29
Cu  0.0000  0.0000  0.0000  12 Be 2.29-2.31

Summary:
Energy of formation from the pure elements, eV/atom: 0.003
Volume, A^3/atom: 8.23
Crystal system: tetragonal
Density of states at the Fermi level, states/eV per cell: 1.25
Total magnetic moment, μB per formula unit: 0.00
Space group: I4/mmm, No. 139



3.
Computed, not measured: a relaxed structure of AsPt2Rh at the GGA-PBEsol level of DFT.

a b c (Å): 2.8125 3.8612 5.4971
angles (deg): 90.00 90.00 90.00
Closest atoms and distances in Å follow each position.
Positions (direct):
Pt  0.0000  0.0000  0.2452  4 Pt 2.70-2.81, 4 Rh 2.74, 4 As 2.77
Pt  0.0000  0.0000  0.7548  4 Pt 2.70-2.81, 4 Rh 2.74, 4 As 2.77
As  0.5000  0.5000  0.5000  2 Rh 2.75, 8 Pt 2.77, 2 As 2.81
Rh  0.5000  0.5000  0.0000  8 Pt 2.74, 2 As 2.75, 2 Rh 2.81

Summary:
Energy of formation from the pure elements, eV/atom: 0.017
Volume, A^3/atom: 14.92
Crystal system: orthorhombic
Density of states at the Fermi level, states/eV per cell: 5.61
Total magnetic moment, μB per formula unit: 0.00
Space group: Pmmm, No. 47



4.
Computed, not measured: a relaxed structure of BeAg3As at the GGA-PBEsol level of DFT.

a b c (Å): 4.8430 4.8430 4.8430
angles (deg): 90.00 90.00 90.00
Closest atoms and distances in Å follow each position.
Positions (direct):
Ag  0.0000  0.0000  0.5000  2 As 2.42
Ag  0.0000  0.5000  0.0000  2 As 2.42
Ag  0.5000  0.0000  0.0000  2 As 2.42
Be  0.5000  0.5000  0.5000  12 Ag 3.42
As  0.0000  0.0000  0.0000  6 Ag 2.42

Summary:
Energy of formation from the pure elements, eV/atom: 0.886
Volume, A^3/atom: 22.72
Crystal system: cubic
Density of states at the Fermi level, states/eV per cell: 2.33
Total magnetic moment, μB per formula unit: 0.00
Space group: Pm-3m, No. 221



5.
Computed, not measured: a relaxed structure of NiPdNF2 at the GGA-PBEsol level of DFT.

a b c (Å): 3.7982 3.7982 3.6724
angles (deg): 90.00 90.00 90.00
Closest atoms and distances in Å follow each position.
Positions (direct):
N  0.0000  0.0000  0.5000  2 Ni 1.84
Pd  0.5000  0.5000  0.5000  8 F 2.64, 4 N 2.69
F  0.5000  0.0000  0.0000  2 Ni 1.90
F  0.0000  0.5000  0.0000  2 Ni 1.90
Ni  0.0000  0.0000  0.0000  2 N 1.84, 4 F 1.90

Summary:
Volume, A^3/atom: 10.60
Crystal system: tetragonal
Energy relative to the elements, uncorrected, eV/atom: -0.0446
Density of states at the Fermi level, states/eV per cell: 3.97
Total magnetic moment, μB per formula unit: 0.00
Space group: P4/mmm, No. 123



6.
Computed, not measured: a relaxed structure of ZrCoO2F at the GGA-PBEsol level of DFT.

a b c (Å): 4.0840 4.0840 4.0880
angles (deg): 90.00 90.00 90.00
Closest atoms and distances in Å follow each position.
Positions (direct):
Zr  0.0000  0.0000  0.0000  4 O 2.04, 2 F 2.04
F  0.0000  0.0000  0.5000  2 Zr 2.04
O  0.0000  0.5000  0.0000  2 Zr 2.04
O  0.5000  0.0000  0.0000  2 Zr 2.04
Co  0.5000  0.5000  0.5000  4 F 2.89, 8 O 2.89

Summary:
Volume, A^3/atom: 13.64
Crystal system: tetragonal
Energy relative to the elements, uncorrected, eV/atom: -1.7344
Density of states at the Fermi level, states/eV per cell: 5.01
Total magnetic moment, μB per formula unit: 2.22
Space group: P4/mmm, No. 123